Record 1
Compound: Sm4Tm7Pu
Source: Alexandria via LeMat-Bulk
Functional: PBE-GGA
Structure: relaxed

Cell: 6.2950 8.6734 8.7655 Å, 59.95 68.96 68.72°
With the nearest neighbours (Å) after each atom.
Sites, in units of the cell vectors:
1 Sm 0.5664 0.6431 0.2721  5 Tm 3.28-3.58, 1 Pu 3.28, 1 Sm 3.45
2 Sm 0.4816 0.3569 0.7279  5 Tm 3.28-3.58, 1 Pu 3.28, 1 Sm 3.45
3 Sm 0.7763 0.8675 0.7616  1 Pu 2.90
4 Sm 0.4054 0.1325 0.2384  1 Pu 2.90
5 Tm 0.8279 0.4273 0.9084  2 Sm 3.29-3.47, 3 Tm 3.37-3.59, 1 Pu 3.44
6 Tm 0.1636 0.5727 0.0916  2 Sm 3.29-3.47, 3 Tm 3.37-3.59, 1 Pu 3.44
7 Tm 0.1056 0.2578 0.5810  3 Sm 3.39-3.58, 6 Tm 3.44-3.72, 1 Pu 3.47
8 Tm 0.9443 0.7422 0.4190  3 Sm 3.39-3.58, 6 Tm 3.44-3.72, 1 Pu 3.47
9 Tm 0.3677 0.8001 0.6450  4 Sm 3.27-3.40, 3 Tm 3.37-3.53
10 Tm 0.2512 0.0000 0.0000  1 Pu 2.86
11 Tm 0.8129 0.1999 0.3550  4 Sm 3.27-3.40, 3 Tm 3.37-3.53
12 Pu 0.7970 0.0000 0.0000  1 Tm 2.86, 2 Sm 2.90

Computed properties:
Final energy ... -5.197 eV/atom
Volume ... 376.58 Å³ per cell
Size of the total moment ... 5.6 μB/f.u.

---

Record 2
Compound: SmTmPu
Source: Alexandria via LeMat-Bulk
Functional: PBE-GGA
Structure: relaxed

Cell: 3.5081 3.5081 7.8080 Å, 102.98 102.98 90.00°
With the nearest neighbours (Å) after each atom.
Sites, in units of the cell vectors:
1 Tm 0.6630 0.6630 0.3259  4 Pu 3.44, 4 Tm 3.51, 4 Sm 3.56
2 Sm 0.3353 0.3353 0.6706  4 Pu 3.50, 4 Sm 3.51, 4 Tm 3.56
3 Pu 0.0018 0.0018 0.0035  4 Tm 3.44, 4 Sm 3.50, 4 Pu 3.51

Computed properties:
Final energy ... -7.726 eV/atom
Volume ... 91.11 Å³ per cell
Distance to the lowest polymorph of the same formula ... 0 meV/atom
Size of the total moment ... 6.1 μB/f.u.

---

Record 3
Compound: SmTmPu
Source: Alexandria via LeMat-Bulk
Functional: PBE-GGA
Structure: relaxed

Cell: 3.3751 5.5499 9.7046 Å, 90.00 90.00 90.00°
With the nearest neighbours (Å) after each atom.
Sites, in units of the cell vectors:
1 Tm 0.5000 0.0000 0.5958  5 Pu 3.29-3.55, 2 Tm 3.38, 2 Sm 3.66
2 Tm 0.0000 0.5000 0.4042  5 Pu 3.29-3.55, 2 Tm 3.38, 2 Sm 3.66
3 Pu 0.5000 0.0000 0.2567  5 Tm 3.29-3.55, 4 Sm 3.32-3.59, 2 Pu 3.38
4 Pu 0.0000 0.5000 0.7433  5 Tm 3.29-3.55, 4 Sm 3.32-3.59, 2 Pu 3.38
5 Sm 0.0000 0.0000 0.9307  4 Pu 3.32-3.59, 6 Sm 3.38-3.52, 2 Tm 3.66
6 Sm 0.5000 0.5000 0.0693  4 Pu 3.32-3.59, 6 Sm 3.38-3.52, 2 Tm 3.66

Computed properties:
Final energy ... -7.658 eV/atom
Volume ... 181.78 Å³ per cell
Distance to the lowest polymorph of the same formula ... 68 meV/atom
Size of the total moment ... 6.6 μB/f.u.

---

Record 4
Compound: SmTmPu2
Source: Alexandria via LeMat-Bulk
Functional: PBE-GGA
Structure: relaxed

Cell: 3.4101 3.4101 10.1114 Å, 90.00 90.00 90.00°
With the nearest neighbours (Å) after each atom.
Sites, in units of the cell vectors:
1 Tm 0.5000 0.5000 0.5000  4 Tm 3.41, 8 Pu 3.45
2 Sm 0.5000 0.5000 0.0000  4 Sm 3.41, 8 Pu 3.53
3 Pu 0.0000 0.0000 0.7446  4 Pu 3.41, 4 Tm 3.45, 4 Sm 3.53
4 Pu 0.0000 0.0000 0.2554  4 Pu 3.41, 4 Tm 3.45, 4 Sm 3.53

Computed properties:
Final energy ... -9.282 eV/atom
Volume ... 117.59 Å³ per cell
Distance to the lowest polymorph of the same formula ... 0 meV/atom
Size of the total moment ... 12.8 μB/f.u.

---

Record 5
Compound: Sm12Tm6Pu
Source: Alexandria via LeMat-Bulk
Functional: PBE-GGA
Structure: relaxed

Cell: 9.4507 9.4507 9.4507 Å, 110.93 110.93 110.93°
With the nearest neighbours (Å) after each atom.
Sites, in units of the cell vectors:
1 Sm 0.3725 0.0571 0.5812  4 Tm 3.55-3.62, 8 Sm 3.56-3.61
2 Sm 0.0571 0.5812 0.3725  4 Tm 3.55-3.62, 8 Sm 3.56-3.61
3 Sm 0.5812 0.3725 0.0571  4 Tm 3.55-3.62, 8 Sm 3.56-3.61
4 Sm 0.6275 0.9429 0.4188  4 Tm 3.55-3.62, 8 Sm 3.56-3.61
5 Sm 0.9429 0.4188 0.6275  4 Tm 3.55-3.62, 8 Sm 3.56-3.61
6 Sm 0.4188 0.6275 0.9429  4 Tm 3.55-3.62, 8 Sm 3.56-3.61
7 Sm 0.1044 0.1558 0.7396  1 Pu 3.53, 8 Sm 3.53-3.61, 3 Tm 3.56-3.65
8 Sm 0.2604 0.8956 0.8442  8 Sm 3.53-3.61, 1 Pu 3.53, 3 Tm 3.56-3.65
9 Sm 0.8442 0.2604 0.8956  1 Pu 3.53, 8 Sm 3.53-3.61, 3 Tm 3.56-3.65
10 Sm 0.8956 0.8442 0.2604  1 Pu 3.53, 8 Sm 3.53-3.61, 3 Tm 3.56-3.65
11 Sm 0.7396 0.1044 0.1558  8 Sm 3.53-3.61, 1 Pu 3.53, 3 Tm 3.56-3.65
12 Sm 0.1558 0.7396 0.1044  1 Pu 3.53, 8 Sm 3.53-3.61, 3 Tm 3.56-3.65
13 Tm 0.2124 0.3155 0.4697  4 Tm 3.49-3.56, 1 Pu 3.54, 7 Sm 3.55-3.65
14 Tm 0.6845 0.5303 0.7876  4 Tm 3.49-3.56, 1 Pu 3.54, 7 Sm 3.55-3.65
15 Tm 0.5303 0.7876 0.6845  4 Tm 3.49-3.56, 1 Pu 3.54, 7 Sm 3.55-3.65
16 Tm 0.7876 0.6845 0.5303  4 Tm 3.49-3.56, 1 Pu 3.54, 7 Sm 3.55-3.65
17 Tm 0.3155 0.4697 0.2124  4 Tm 3.49-3.56, 1 Pu 3.54, 7 Sm 3.55-3.65
18 Tm 0.4697 0.2124 0.3155  4 Tm 3.49-3.56, 1 Pu 3.54, 7 Sm 3.55-3.65
19 Pu 0.0000 0.0000 0.0000  6 Sm 3.53, 6 Tm 3.54

Computed properties:
Final energy ... -5.111 eV/atom
Volume ... 612.16 Å³ per cell
Size of the total moment ... 6.7 μB/f.u.

---

Record 6
Compound: SmTmPu
Source: Alexandria via LeMat-Bulk
Functional: PBE-GGA
Structure: relaxed

Cell: 3.5251 3.5251 8.5318 Å, 90.00 90.00 120.00°
With the nearest neighbours (Å) after each atom.
Sites, in units of the cell vectors:
1 Tm 0.3333 0.6667 0.6623  3 Pu 3.44, 6 Tm 3.53, 3 Sm 3.53
2 Sm 0.0000 0.0000 0.0010  3 Pu 3.51, 6 Sm 3.53, 3 Tm 3.53
3 Pu 0.6667 0.3333 0.3366  3 Tm 3.44, 3 Sm 3.51, 6 Pu 3.53

Computed properties:
Final energy ... -7.710 eV/atom
Volume ... 91.81 Å³ per cell
Distance to the lowest polymorph of the same formula ... 16 meV/atom
Size of the total moment ... 6.2 μB/f.u.